DFT (PBE) results for a geometry-optimized Mn8Co2C structure.

Calculated values
N(E_F)   9.65 states/eV per cell
Energy of formation from the pure elements   38 meV per atom

```
11
Lattice="3.5128 0.0000 0.0000 0.0000 3.5129 0.0000 0.0000 0.0000 9.4566" Properties=species:S:1:pos:R:3 pbc="T T T"
Mn 0.0000 1.7564 4.7283
Mn 1.7564 0.0000 4.7283
Mn 1.7564 1.7564 2.8826
Mn 1.7564 1.7564 6.5740
Mn 0.0000 1.7564 1.1864
Mn 1.7564 0.0000 1.1864
Mn 0.0000 1.7564 8.2702
Mn 1.7564 0.0000 8.2702
Co 0.0000 0.0000 2.9695
Co 0.0000 0.0000 6.4872
C 0.0000 0.0000 0.0000
```



DFT (PBE) results for a geometry-optimized MnCo2C structure.

Calculated values
N(E_F)   12.99 states/eV per cell
Energy of formation from the pure elements   398 meV per atom

```
8
Lattice="6.2086 0.0000 0.0000 0.0000 6.2086 0.0000 3.1043 3.1043 2.0549" Properties=species:S:1:pos:R:3 pbc="T T T"
C 3.1043 3.1043 0.0000
C 3.1043 6.2086 1.0274
Mn 0.0000 0.0000 0.0000
Mn 6.2086 3.1043 1.0274
Co 4.0021 1.5521 0.5137
Co 2.2065 4.6564 0.5137
Co 4.6564 5.3108 1.5412
Co 7.7607 7.1064 1.5412
```



DFT (PBE) results for a geometry-optimized Mn8CoC2 structure.

Calculated values
N(E_F)   10.12 states/eV per cell
Energy of formation from the pure elements   328 meV per atom

```
11
Lattice="-2.7639 -1.9519 -1.9024 4.1019 -1.4632 -4.0004 2.2544 -4.9687 2.2802" Properties=species:S:1:pos:R:3 pbc="T T T"
Mn 2.7606 -5.3054 -0.0742
Mn -0.0413 -4.7352 -0.5801
Mn 4.1714 -5.6774 -1.9417
Mn -0.5790 -2.7064 -1.6809
Mn 3.6338 -3.6487 -3.0425
Mn 0.8318 -3.0784 -3.5484
Mn 1.6982 -5.3388 -2.4802
Mn 1.8942 -3.0450 -1.1424
Co 0.0000 0.0000 0.0000
C 2.9382 -6.7815 -2.9207
C 0.6542 -1.6023 -0.7019
```



DFT (PBE) results for a geometry-optimized Mn2CoC structure.

Calculated values
N(E_F)   12.08 states/eV per cell
Energy relative to the lowest polymorph listed for this composition   206 meV/atom
Energy of formation from the pure elements   317 meV per atom

```
8
Lattice="6.2836 0.0000 0.0000 0.0000 6.2836 0.0000 3.1418 3.1418 2.0080" Properties=species:S:1:pos:R:3 pbc="T T T"
C 3.1418 3.1418 0.0000
C 3.1418 6.2836 1.0040
Mn 4.1197 1.5709 0.5020
Mn 2.1639 4.7127 0.5020
Mn 4.7127 5.3057 1.5060
Mn 7.8545 7.2615 1.5060
Co 0.0000 0.0000 0.0000
Co 6.2836 3.1418 1.0040
```



DFT (PBE) results for a geometry-optimized Mn2CoC structure.

Calculated values
N(E_F)   5.32 states/eV per cell
Energy relative to the lowest polymorph listed for this composition   589 meV/atom
Energy of formation from the pure elements   700 meV per atom

```
4
Lattice="4.0408 0.0000 0.0000 2.0204 3.4995 0.0000 2.0204 1.1665 2.8052" Properties=species:S:1:pos:R:3 pbc="T T T"
C 4.0408 2.3330 1.4026
Mn 2.0204 1.1665 0.4888
Mn 6.0612 3.4995 2.3164
Co 0.0000 0.0000 0.0000
```



DFT (PBE) results for a geometry-optimized Mn2CoC structure.

Calculated values
N(E_F)   4.47 states/eV per cell
Energy relative to the lowest polymorph listed for this composition   0 meV/atom
Energy of formation from the pure elements   111 meV per atom

```
4
Lattice="-1.3588 0.4162 -2.3451 -1.0879 -2.1245 -1.3499 -6.1136 0.1157 1.9599" Properties=species:S:1:pos:R:3 pbc="T T T"
Mn -5.1530 -0.0085 1.3812
Mn -1.7707 -0.4459 -0.6563
Co -4.2651 -0.7982 -0.8766
C -1.6517 -1.1362 -2.4509
```



DFT (PBE) results for a geometry-optimized Mn3CoC structure.

Calculated values
N(E_F)   10.37 states/eV per cell
Energy relative to the lowest polymorph listed for this composition   2307 meV/atom
Energy of formation from the pure elements   2485 meV per atom

```
5
Lattice="4.1120 0.0000 0.0000 0.0000 4.1120 0.0000 0.0000 0.0000 4.1120" Properties=species:S:1:pos:R:3 pbc="T T T"
C 2.0560 2.0560 2.0560
Mn 0.0000 2.0560 0.0000
Mn 0.0000 0.0000 2.0560
Mn 2.0560 0.0000 0.0000
Co 0.0000 0.0000 0.0000
```



DFT (PBE) results for a geometry-optimized Mn3CoC structure.

Calculated values
N(E_F)   6.13 states/eV per cell
Energy relative to the lowest polymorph listed for this composition   0 meV/atom
Energy of formation from the pure elements   179 meV per atom

```
5
Lattice="3.7428 0.0000 0.0000 0.0000 3.7428 0.0000 0.0000 0.0000 3.7428" Properties=species:S:1:pos:R:3 pbc="T T T"
C 0.0000 0.0000 0.0000
Mn 0.0000 1.8714 0.0000
Mn 0.0000 0.0000 1.8714
Mn 1.8714 0.0000 0.0000
Co 1.8714 1.8714 1.8714
```



DFT (PBE) results for a geometry-optimized Mn10Co6C structure.

Calculated values
N(E_F)   22.71 states/eV per cell
Energy of formation from the pure elements   134 meV per atom

```
17
Lattice="4.5952 0.0000 0.0000 0.0000 6.0119 -3.4710 0.0000 0.0000 6.9419" Properties=species:S:1:pos:R:3 pbc="T T T"
Mn 3.4423 4.5995 2.6555
Mn 3.4423 0.0000 1.6309
Mn 3.4423 1.4124 -0.8155
Mn 1.1529 1.4124 0.8155
Mn 1.1529 0.0000 5.3110
Mn 1.1529 4.5995 -2.6555
Mn 2.2976 2.0040 3.4710
Mn 2.2976 4.0079 0.0000
Mn 0.0000 4.0079 0.0000
Mn 0.0000 2.0040 3.4710
Co 3.4848 2.4457 1.4120
Co 3.4848 0.0000 4.1178
Co 3.4848 3.5661 -2.0589
Co 1.1104 3.5661 2.0589
Co 1.1104 0.0000 2.8241
Co 1.1104 2.4457 -1.4120
C 2.2976 0.0000 0.0000
```



DFT (PBE) results for a geometry-optimized Mn4CoC structure.

Calculated values
N(E_F)   14.47 states/eV per cell
Energy of formation from the pure elements   311 meV per atom

```
12
Lattice="5.2742 0.0000 -0.3120 0.0000 5.4087 0.0000 -0.4371 0.0000 4.7544" Properties=species:S:1:pos:R:3 pbc="T T T"
Mn 4.8410 3.3716 0.3399
Mn 2.6332 0.6673 3.9465
Mn 1.4385 1.7360 1.7916
Mn 0.7615 4.4404 2.8068
Mn -0.0039 2.0371 4.1025
Mn 2.2039 4.7414 0.4959
Mn 3.3986 3.6727 2.6509
Mn 4.0756 0.9683 1.6356
Co 0.0000 0.0000 0.0000
Co 2.6371 2.7043 -0.1560
C 2.4185 0.0000 2.2212
C -0.2186 2.7043 2.3772
```



DFT (PBE) results for a geometry-optimized Mn6Co3C2N structure.

Calculated values
N(E_F)   9.11 states/eV per cell
Formation energy without anion corrections   0.031 eV per atom

```
12
Lattice="-0.4976 3.9470 -2.6978 -3.8888 -2.3875 1.5103 1.3042 3.0041 5.5731" Properties=species:S:1:pos:R:3 pbc="T T T"
Mn -1.7573 4.7172 2.9388
Mn -2.9525 1.6806 0.1504
Mn -1.3249 -0.1537 1.4469
Mn -2.8876 2.6059 4.3414
Mn -0.1297 2.8830 4.2352
Mn -0.1946 1.9577 0.0442
Co -2.6704 0.1724 3.5942
Co -0.4118 4.3912 0.7915
Co -1.5411 2.2818 2.1928
C -2.7587 -0.2766 0.1080
C -1.6277 1.8361 -1.2955
N 0.0000 0.0000 0.0000
```



DFT (PBE) results for a geometry-optimized Mn2CoNiC structure.

Calculated values
N(E_F)   4.49 states/eV per cell
Energy of formation from the pure elements   70 meV per atom

```
5
Lattice="3.8554 0.0000 0.0000 0.0000 3.8554 0.0000 0.0000 0.0000 3.6840" Properties=species:S:1:pos:R:3 pbc="T T T"
Ni 1.9277 1.9277 1.8420
C 0.0000 0.0000 0.0000
Mn 0.0000 1.9277 0.0000
Mn 1.9277 0.0000 0.0000
Co 0.0000 0.0000 1.8420
```



Number 12 is which compound?
Mn2CoNiC



What is the formula in the eighth record?
Mn3CoC